# 1
DFT (PBE) results for an optimized crystal structure of CrTeS2Cl.

Summary:
**Density**: 4.51 g/cm³
**M_tot**: 0.601 μB per atom
**DFT total energy**: -4.57 eV per atom
**Energy relative to the elements, uncorrected**: 0.004 eV/atom
**Space-group type**: P4/mmm, No. 123

a b c (Å): 4.7531 4.7531 4.5509
angles (deg): 90.00 90.00 90.00
With the nearest neighbours (Å) after each atom.
Sites, in units of the cell vectors:
1 Cr 0.0000 0.0000 0.0000  2 Cl 2.28, 4 S 2.38
2 Te 0.5000 0.5000 0.5000  8 S 3.29, 4 Cl 3.36
3 S 0.0000 0.5000 0.0000  2 Cr 2.38
4 S 0.5000 0.0000 0.0000  2 Cr 2.38
5 Cl 0.0000 0.0000 0.5000  2 Cr 2.28


# 2
DFT (PBE) results for an optimized crystal structure of TiCrS2Cl.

Summary:
**Density**: 3.13 g/cm³
**M_tot**: 0.964 μB per atom
**DFT total energy**: -5.93 eV per atom
**Energy relative to the elements, uncorrected**: -0.410 eV/atom
**Space-group type**: P4/mmm, No. 123

a b c (Å): 4.7372 4.7372 4.7208
angles (deg): 90.00 90.00 90.00
With the nearest neighbours (Å) after each atom.
Sites, in units of the cell vectors:
1 Ti 0.0000 0.0000 0.0000  2 Cl 2.36, 4 S 2.37
2 Cr 0.5000 0.5000 0.5000  8 S 3.34, 4 Cl 3.35
3 S 0.0000 0.5000 0.0000  2 Ti 2.37
4 S 0.5000 0.0000 0.0000  2 Ti 2.37
5 Cl 0.0000 0.0000 0.5000  2 Ti 2.36


# 3
DFT (PBE) results for an optimized crystal structure of TiCrS2Cl.

Summary:
**Density**: 3.37 g/cm³
**M_tot**: 0.644 μB per atom
**DFT total energy**: -5.59 eV per atom
**Energy relative to the elements, uncorrected**: -0.064 eV/atom
**Space-group type**: P4/mmm, No. 123

a b c (Å): 4.6747 4.6747 4.4953
angles (deg): 90.00 90.00 90.00
With the nearest neighbours (Å) after each atom.
Sites, in units of the cell vectors:
1 Ti 0.0000 0.0000 0.0000  8 S 3.24, 4 Cl 3.31
2 Cr 0.5000 0.5000 0.5000  2 Cl 2.25, 4 S 2.34
3 S 0.0000 0.5000 0.5000  2 Cr 2.34
4 S 0.5000 0.0000 0.5000  2 Cr 2.34
5 Cl 0.5000 0.5000 0.0000  2 Cr 2.25


# 4
DFT (PBE) results for an optimized crystal structure of TlCrSCl2.

Summary:
**Density**: 5.11 g/cm³
**M_tot**: 0.600 μB per atom
**DFT total energy**: -4.66 eV per atom
**Energy relative to the elements, uncorrected**: -0.697 eV/atom
**Space-group type**: P4/mmm, No. 123

a b c (Å): 5.0493 5.0493 4.5767
angles (deg): 90.00 90.00 90.00
With the nearest neighbours (Å) after each atom.
Sites, in units of the cell vectors:
1 Tl 0.0000 0.0000 0.0000  8 Cl 3.41, 4 S 3.57
2 Cr 0.5000 0.5000 0.5000  2 S 2.29, 4 Cl 2.52
3 S 0.5000 0.5000 0.0000  2 Cr 2.29
4 Cl 0.0000 0.5000 0.5000  2 Cr 2.52
5 Cl 0.5000 0.0000 0.5000  2 Cr 2.52


Number 1: relative energy among the computed polymorphs 0.000 eV/atom. Number 2: relative energy among the computed polymorphs 0.000 eV/atom. Number 3: relative energy among the computed polymorphs 0.346 eV/atom. Number 4: relative energy among the computed polymorphs 0.000 eV/atom.